Computed, not measured: a relaxed LiPm2Dy3Te6 crystal at the GGA-PBE level of DFT.

Properties
* raw formation energy: -1.343 eV per atom

Geometry as POSCAR:
```
LiPm2Dy3Te6
1.0
4.372 0.000 0.000
0.000 8.777 0.306
-2.186 -2.538 9.228
Dy Te Pm Li
3 6 2 1
Direct
0.170 0.832 0.340 Dy
0.830 0.168 0.660 Dy
0.500 0.500 0.000 Dy
0.663 0.589 0.325 Te
0.998 0.243 0.997 Te
0.338 0.925 0.676 Te
0.337 0.411 0.675 Te
0.002 0.757 0.003 Te
0.662 0.075 0.324 Te
0.170 0.342 0.341 Pm
0.830 0.658 0.659 Pm
0.500 0.000 0.000 Li
```